# 1
A plane-wave DFT calculation with PBEsol was carried out for a geometry-optimized TaMnAl2 structure.

Cell lengths 3.870, 3.870, 3.929 Å; angles 90.00, 90.00, 90.00 degrees
Last column: magnetic moment on the atom in μB.
Atoms (fractional coordinates):
Ta1 0.000 0.000 0.500  -0.17
Al1 0.000 0.500 0.000  -0.01
Al2 0.500 0.000 0.000  -0.01
Mn1 0.500 0.500 0.500  2.43

Total magnetization: 2.3 μB per formula unit
ΔE_f: -0.170 eV/atom
Energy above the most stable polymorph in this dataset: 39 meV per atom
Crystal system: tetragonal

***

# 2
A plane-wave DFT calculation with PBEsol was carried out for a geometry-optimized Rb2TlAsI6 structure.

Cell lengths 8.482, 8.482, 8.482 Å; angles 60.00, 60.00, 60.00 degrees
Atoms (fractional coordinates):
I1 0.236 0.764 0.236
I2 0.764 0.236 0.764
I3 0.236 0.764 0.764
I4 0.764 0.764 0.236
I5 0.764 0.236 0.236
I6 0.236 0.236 0.764
Rb1 0.250 0.250 0.250
Rb2 0.750 0.750 0.750
As1 0.000 0.000 0.000
Tl1 0.500 0.500 0.500

Total magnetization: 0.0 μB per formula unit
Calculated total energy: -2.795 eV per atom
Crystal system: cubic

***

# 3
A plane-wave DFT calculation with PBEsol was carried out for a geometry-optimized KSr2Ca structure.

Cell lengths 4.112, 4.112, 12.370 Å; angles 90.00, 90.00, 90.00 degrees
Atoms (fractional coordinates):
Ca1 0.500 0.500 0.000
Sr1 0.000 0.000 0.777
Sr2 0.000 0.000 0.223
K1 0.500 0.500 0.500

Total magnetization: 0.0 μB per formula unit
ΔE_f: 0.068 eV/atom
Energy above the most stable polymorph in this dataset: 2 meV per atom
Crystal system: tetragonal

***

# 4
A plane-wave DFT calculation with PBEsol was carried out for a geometry-optimized CaLaTc2Br structure.

Cell lengths 4.794, 4.794, 5.892 Å; angles 90.00, 90.00, 90.00 degrees
Last column: magnetic moment on the atom in μB.
Atoms (fractional coordinates):
Tc1 0.500 0.000 0.000  1.08
Tc2 0.000 0.500 0.000  1.08
La1 0.000 0.000 0.000  -0.01
Br1 0.000 0.000 0.500  0.04
Ca1 0.500 0.500 0.500  0.00

Total magnetization: 2.4 μB per formula unit
Calculated total energy: -5.457 eV per atom
Crystal system: tetragonal

***

# 5
A plane-wave DFT calculation with PBEsol was carried out for a geometry-optimized YSb2Rh2 structure.

Cell lengths 4.285, 4.285, 6.341 Å; angles 109.75, 109.75, 90.00 degrees
Atoms (fractional coordinates):
Rh1 0.250 0.750 0.500
Rh2 0.750 0.250 0.500
Sb1 0.376 0.376 0.752
Sb2 0.624 0.624 0.248
Y1 0.000 0.000 0.000

Total magnetization: 0.0 μB per formula unit
Calculated total energy: -7.081 eV per atom
Crystal system: tetragonal

***

# 6
A plane-wave DFT calculation with PBEsol was carried out for a geometry-optimized LiVOF3 structure.

Cell lengths 4.914, 5.979, 9.426 Å; angles 90.00, 90.00, 90.00 degrees
Last column: magnetic moment on the atom in μB.
Atoms (fractional coordinates):
Li1 0.397 0.320 0.347  0.00
Li2 0.897 0.180 0.653  0.00
Li3 0.103 0.680 0.847  0.00
Li4 0.603 0.820 0.153  0.00
O1 0.831 0.838 0.527  -0.08
O2 0.331 0.662 0.473  -0.08
O3 0.669 0.162 0.027  -0.08
O4 0.169 0.338 0.973  -0.08
F1 0.816 0.647 0.994  0.00
F2 0.571 0.500 0.203  0.01
F3 0.041 0.313 0.247  0.01
F4 0.071 0.000 0.797  0.01
F5 0.541 0.187 0.753  0.01
F6 0.959 0.813 0.253  0.01
F7 0.929 0.500 0.703  0.01
F8 0.684 0.353 0.494  0.00
F9 0.316 0.853 0.006  0.00
F10 0.184 0.147 0.506  0.00
F11 0.429 0.000 0.297  0.01
F12 0.459 0.687 0.747  0.01
V1 0.145 0.880 0.413  1.00
V2 0.855 0.380 0.087  1.00
V3 0.645 0.620 0.587  1.00
V4 0.355 0.120 0.913  1.00

Total magnetization: 1.0 μB per formula unit
Energy above the most stable polymorph in this dataset: 61 meV per atom
Crystal system: orthorhombic

***

# 7
A plane-wave DFT calculation with PBEsol was carried out for a geometry-optimized CaH3Pt structure.

Cell lengths 3.687, 3.687, 3.687 Å; angles 90.00, 90.00, 90.00 degrees
Atoms (fractional coordinates):
Ca1 0.500 0.500 0.500
H1 0.000 0.000 0.500
H2 0.500 0.000 0.000
H3 0.000 0.500 0.000
Pt1 0.000 0.000 0.000

Total magnetization: 0.0 μB per formula unit
Calculated total energy: -4.401 eV per atom
Crystal system: cubic

***

# 8
A plane-wave DFT calculation with PBEsol was carried out for a geometry-optimized RbPIr2S structure.

Cell lengths 4.410, 4.410, 5.246 Å; angles 90.00, 90.00, 90.00 degrees
Atoms (fractional coordinates):
P1 0.000 0.000 0.000
Ir1 0.500 0.000 0.000
Ir2 0.000 0.500 0.000
S1 0.000 0.000 0.500
Rb1 0.500 0.500 0.500

Total magnetization: 0.0 μB per formula unit
Calculated total energy: -5.634 eV per atom
Crystal system: tetragonal